No. 1
First-principles (PBE) data for crystalline MgMn3Nb at its relaxed geometry, as listed in the Alexandria database.

* magnetic moment: 8.3 μB per formula unit
* formation energy: 1109 meV per atom

Cell: 4.7047 4.7047 4.7047 Å, 90.00 90.00 90.00°
With the nearest neighbours (Å) after each atom.
Space group Pm-3m (No. 221)
Symmetry-distinct sites (fractional):
Mg (0.0000, 0.0000, 0.0000) (multiplicity 1)  12 Mn 3.33
Mn (0.0000, 0.5000, 0.5000) (multiplicity 3)  2 Nb 2.35
Nb (0.5000, 0.5000, 0.5000) (multiplicity 1)  6 Mn 2.35

***

No. 2
First-principles (PBE) data for crystalline PuScHg at its relaxed geometry, as listed in the Alexandria database.

* magnetic moment: 0.0 μB per formula unit
* formation energy: -56 meV per atom

Cell: 3.2472 4.0440 9.5761 Å, 90.00 94.62 90.00°
With the nearest neighbours (Å) after each atom.
Space group P2_1/m (No. 11)
Symmetry-distinct sites (fractional):
Pu (0.1347, 0.2500, 0.0421) (multiplicity 2)  2 Pu 2.32
Sc (0.3191, 0.2500, 0.7489) (multiplicity 2)  3 Pu 2.92-3.27, 5 Hg 2.99-3.26, 2 Sc 3.25
Hg (0.2206, 0.2500, 0.4073) (multiplicity 2)  5 Sc 2.99-3.26, 6 Hg 3.12-3.25

***

No. 3
First-principles (PBE) data for crystalline SiBS3 at its relaxed geometry, as listed in the Alexandria database.

* magnetic moment: 0.0 μB per formula unit
* formation energy without anion corrections: -0.1935 eV per atom

Cell: 3.2108 20.7147 7.0570 Å, 90.00 90.00 90.00°
With the nearest neighbours (Å) after each atom.
Space group Cmc2_1 (No. 36)
Symmetry-distinct sites (fractional):
Si (0.0000, 0.1263, 0.0000) (multiplicity 4)  4 S 2.14-2.27
B (0.0000, 0.2603, 0.7486) (multiplicity 4)  3 S 1.78-1.90
S (0.0000, 0.1744, 0.7293) (multiplicity 4)  1 B 1.78
S (0.0000, 0.1904, 0.2602) (multiplicity 4)  2 B 1.90
S (0.0000, 0.4408, 0.5365) (multiplicity 4)  2 Si 2.14

***

No. 4
First-principles (PBE) data for crystalline AcPmInCu at its relaxed geometry, as listed in the Alexandria database.

* magnetic moment: 0.0 μB per formula unit
* formation energy: -209 meV per atom

Cell: 7.7472 7.7472 7.7472 Å, 90.00 90.00 90.00°
With the nearest neighbours (Å) after each atom.
Space group F-43m (No. 216)
Symmetry-distinct sites (fractional):
Ac (0.0000, 0.0000, 0.0000) (multiplicity 4)  4 In 3.35, 4 Cu 3.35
Pm (0.0000, 0.0000, 0.5000) (multiplicity 4)  4 In 3.35, 4 Cu 3.35
In (0.2500, 0.2500, 0.7500) (multiplicity 4)  4 Ac 3.35, 4 Pm 3.35
Cu (0.2500, 0.2500, 0.2500) (multiplicity 4)  4 Ac 3.35, 4 Pm 3.35

***

No. 5
First-principles (PBE) data for crystalline KCdW2 at its relaxed geometry, as listed in the Alexandria database.

* magnetic moment: 0.0 μB per formula unit
* formation energy: 1230 meV per atom

Cell: 2.7175 4.8842 7.4597 Å, 90.00 90.00 90.00°
With the nearest neighbours (Å) after each atom.
Space group Pmmm (No. 47)
Symmetry-distinct sites (fractional):
K (0.0000, 0.0000, 0.0000) (multiplicity 1)  2 K 2.72
Cd (0.0000, 0.0000, 0.5000) (multiplicity 1)  2 Cd 2.72, 8 W 3.04
W (0.5000, 0.5000, 0.3398) (multiplicity 2)  1 W 2.39

***

No. 6
First-principles (PBE) data for crystalline ScCrOsSe2 at its relaxed geometry, as listed in the Alexandria database.

* magnetic moment: 0.3 μB per formula unit
* formation energy without anion corrections: 1.4032 eV per atom

Cell: 4.9495 4.9495 4.8112 Å, 90.00 90.00 90.00°
With the nearest neighbours (Å) after each atom.
Space group P4/mmm (No. 123)
Symmetry-distinct sites (fractional):
Sc (0.0000, 0.0000, 0.0000) (multiplicity 1)  2 Os 2.41, 4 Se 2.47
Cr (0.5000, 0.5000, 0.5000) (multiplicity 1)  8 Se 3.45, 4 Os 3.50
Os (0.0000, 0.0000, 0.5000) (multiplicity 1)  2 Sc 2.41
Se (0.0000, 0.5000, 0.0000) (multiplicity 2)  2 Sc 2.47

***

No. 7
First-principles (PBE) data for crystalline LiLaTa2 at its relaxed geometry, as listed in the Alexandria database.

* magnetic moment: 0.0 μB per formula unit
* formation energy: 499 meV per atom

Cell: 10.8234 3.0237 5.1089 Å, 90.00 101.37 90.00°
With the nearest neighbours (Å) after each atom.
Space group C2/m (No. 12)
Symmetry-distinct sites (fractional):
Li (0.0000, 0.0000, 0.0000) (multiplicity 2)  4 La 2.97, 6 Ta 2.98-3.32, 2 Li 3.02
La (0.0000, 0.5000, 0.5000) (multiplicity 2)  4 Li 2.97, 2 La 3.02, 6 Ta 3.11-3.31
Ta (0.2332, 0.5000, 0.2281) (multiplicity 4)  6 Ta 2.86-3.12, 2 Li 2.98, 1 La 3.11

***

No. 8
First-principles (PBE) data for crystalline SrNiCl2 at its relaxed geometry, as listed in the Alexandria database.

* magnetic moment: 0.5 μB per formula unit
* formation energy without anion corrections: -0.8302 eV per atom

Cell: 3.9230 4.1912 5.2799 Å, 90.00 90.00 90.00°
With the nearest neighbours (Å) after each atom.
Space group Pmmm (No. 47)
Symmetry-distinct sites (fractional):
Sr (0.0000, 0.0000, 0.0000) (multiplicity 1)  4 Cl 2.87
Ni (0.0000, 0.5000, 0.5000) (multiplicity 1)  4 Cl 2.87
Cl (0.5000, 0.0000, 0.5000) (multiplicity 1)  4 Ni 2.87
Cl (0.5000, 0.5000, 0.0000) (multiplicity 1)  4 Sr 2.87

***

Which of these has the highest magnetic moment? MgMn3Nb

***

What is the formula in the eighth record? SrNiCl2

***

What is the formula in the eighth record? SrNiCl2